VASP calculation (PBE) on a geometry-optimized LiVPt14 structure.

```
LiVPt14
1.0
5.575 -0.012 0.000
0.012 5.575 0.000
0.000 0.000 7.821
V Pt Li
1 14 1
direct
0.875 0.875 0.500
0.875 0.375 0.500
0.375 0.875 0.500
0.123 0.627 0.259
0.627 0.627 0.741
0.875 0.875 0.000
0.123 0.123 0.259
0.375 0.875 0.000
0.123 0.123 0.741
0.627 0.123 0.741
0.375 0.375 0.000
0.627 0.627 0.259
0.875 0.375 0.000
0.627 0.123 0.259
0.123 0.627 0.741
0.375 0.375 0.500
```

Values from the calculation:
The calculation puts the density of states at the Fermi level at 19.84 states/eV per cell. The calculation puts the energy of formation at -4.0 eV per formula unit. The size of the total moment is 0.00 μB per atom. The space-group type is P4/mmm, No. 123. The crystal system is tetragonal.